(1)
Y3Zn4Cd4 after structural relaxation. Source: the Alexandria database, functional GGA-PBE.

Calculated values
DFT formation energy	-0.297	eV per atom
space-group type	P-1 (2)
volume	21.90	Å³ per atom
Fermi-level density of states	0.5808	states/eV per atom

Unit cell a=3.569 b=4.678 c=14.722 alpha=80.97 beta=83.05 gamma=90.00
Fractional positions:
1 Cd 0.262 0.263 0.475
2 Cd 0.738 0.737 0.525
3 Cd 0.408 0.908 0.183
4 Cd 0.592 0.092 0.817
5 Zn 0.684 0.184 0.632
6 Zn 0.455 0.455 0.089
7 Zn 0.316 0.816 0.368
8 Zn 0.545 0.545 0.911
9 Y 0.141 0.641 0.718
10 Y 0.000 0.000 0.000
11 Y 0.859 0.359 0.282

***

(2)
Nd2MnGaPt6 after structural relaxation. Source: the Alexandria database, functional GGA-PBE.

Calculated values
DFT formation energy	-0.699	eV per atom
space-group type	R-3m (166)
volume	21.67	Å³ per atom
Fermi-level density of states	0.4900	states/eV per atom

Unit cell a=5.647 b=8.494 c=8.496 alpha=38.83 beta=70.61 gamma=90.02
Each line ends with the local moment (μB).
Fractional positions:
1 Nd 0.203 0.796 0.593  -0.04
2 Nd 0.797 0.204 0.407  -0.04
3 Pt 0.251 0.250 0.498  0.09
4 Pt 0.249 0.250 0.001  0.09
5 Pt 0.751 0.750 0.999  0.09
6 Pt 0.749 0.750 0.502  0.09
7 Pt 0.251 0.750 0.999  0.09
8 Pt 0.749 0.250 0.001  0.09
9 Mn 0.500 0.500 0.000  3.48
10 Ga 0.000 0.000 0.000  0.01

***

(3)
NaTiGa2Cu after structural relaxation. Source: the Alexandria database, functional GGA-PBE.

Calculated values
DFT formation energy	1.321	eV per atom
space-group type	P4/mmm (123)
volume	21.90	Å³ per atom
Fermi-level density of states	0.6940	states/eV per atom

Unit cell a=4.800 b=4.753 c=4.800 alpha=90.00 beta=90.00 gamma=90.00
Fractional positions:
1 Ti 0.000 0.500 0.000
2 Ga 0.000 0.000 0.500
3 Ga 0.500 0.000 0.000
4 Cu 0.500 0.500 0.500
5 Na 0.000 0.000 0.000

***

(4)
PmUN3 after structural relaxation. Source: the Alexandria database, functional GGA-PBE.

Calculated values
ΔE_f (raw)	-1.179	eV/atom
space-group type	Pm-3m (221)
volume	15.42	Å³ per atom

Unit cell a=4.256 b=4.256 c=4.256 alpha=90.00 beta=90.00 gamma=90.00
Fractional positions:
1 Pm 0.500 0.500 0.500
2 N 0.000 0.500 0.000
3 N 0.000 0.000 0.500
4 N 0.500 0.000 0.000
5 U 0.000 0.000 0.000

***

(5)
LaTb2Tl3S6 after structural relaxation. Source: the Alexandria database, functional GGA-PBE.

Calculated values
ΔE_f (raw)	-1.499	eV/atom
space-group type	C2/m (12)
volume	27.66	Å³ per atom
Fermi-level density of states	0.0000	states/eV per atom

Unit cell a=7.152 b=7.152 c=7.860 alpha=98.72 beta=98.72 gamma=119.97
Fractional positions:
1 S 0.412 0.067 0.201
2 S 0.722 0.722 0.199
3 S 0.588 0.933 0.799
4 S 0.067 0.412 0.201
5 S 0.933 0.588 0.799
6 S 0.278 0.278 0.801
7 Tl 0.500 0.500 0.500
8 Tl 0.834 0.166 0.500
9 Tl 0.166 0.834 0.500
10 Tb 0.667 0.333 0.000
11 Tb 0.333 0.667 0.000
12 La 0.000 0.000 0.000

***

(6)
CsEr2Te3 after structural relaxation. Source: the Alexandria database, functional GGA-PBE.

Calculated values
ΔE_f (raw)	-1.190	eV/atom
space-group type	P2_1/m (11)
volume	35.04	Å³ per atom
Fermi-level density of states	0.4017	states/eV per atom
energy relative to the lowest polymorph listed for this composition	0.023	eV/atom

Unit cell a=4.407 b=8.178 c=12.013 alpha=103.79 beta=90.00 gamma=90.00
Fractional positions:
1 Er 0.750 0.240 0.508
2 Er 0.250 0.760 0.492
3 Er 0.250 0.002 0.188
4 Er 0.750 0.998 0.812
5 Te 0.250 0.354 0.367
6 Te 0.250 0.111 0.652
7 Te 0.250 0.169 0.974
8 Te 0.750 0.889 0.348
9 Te 0.750 0.646 0.633
10 Te 0.750 0.831 0.026
11 Cs 0.750 0.469 0.157
12 Cs 0.250 0.531 0.843

***

(7)
Mn12Al3Re5 after structural relaxation. Source: the Alexandria database, functional GGA-PBE.

Calculated values
DFT formation energy	1.052	eV per atom
space-group type	Ia-3d (230)
volume	16.82	Å³ per atom
Fermi-level density of states	1.0438	states/eV per atom

Unit cell a=12.045 b=12.045 c=12.045 alpha=109.47 beta=109.47 gamma=109.47
Each line ends with the local moment (μB).
Fractional positions:
1 Re 0.500 0.000 0.500  -0.77
2 Re 0.625 0.750 0.875  -0.99
3 Re 0.500 0.500 0.000  -0.77
4 Re 0.250 0.875 0.125  -0.99
5 Re 0.375 0.125 0.750  -0.99
6 Re 0.000 0.500 0.000  -0.77
7 Re 0.125 0.375 0.250  -0.99
8 Re 0.875 0.250 0.625  -0.99
9 Re 0.625 0.875 0.250  -0.99
10 Re 0.125 0.750 0.375  -0.99
11 Re 0.500 0.000 0.000  -0.77
12 Re 0.250 0.375 0.625  -0.99
13 Re 0.750 0.625 0.375  -0.99
14 Re 0.000 0.000 0.500  -0.77
15 Re 0.000 0.500 0.500  -0.77
16 Re 0.875 0.625 0.750  -0.99
17 Re 0.500 0.500 0.500  -0.77
18 Re 0.375 0.250 0.125  -0.99
19 Re 0.000 0.000 0.000  -0.77
20 Re 0.750 0.125 0.875  -0.99
21 Al 0.250 0.625 0.875  -0.08
22 Al 0.875 0.125 0.250  -0.08
23 Al 0.875 0.750 0.125  -0.08
24 Al 0.125 0.250 0.875  -0.08
25 Al 0.750 0.375 0.125  -0.08
26 Al 0.125 0.875 0.750  -0.08
27 Al 0.250 0.125 0.375  -0.08
28 Al 0.625 0.250 0.375  -0.08
29 Al 0.750 0.875 0.625  -0.08
30 Al 0.375 0.750 0.625  -0.08
31 Al 0.375 0.625 0.250  -0.08
32 Al 0.625 0.375 0.750  -0.08
33 Mn 0.405 0.270 0.334  2.15
34 Mn 0.365 0.429 0.095  2.15
35 Mn 0.865 0.595 0.929  2.15
36 Mn 0.334 0.770 0.405  2.15
37 Mn 0.635 0.064 0.230  2.15
38 Mn 0.770 0.436 0.365  2.15
39 Mn 0.095 0.166 0.230  2.15
40 Mn 0.770 0.334 0.905  2.15
41 Mn 0.666 0.436 0.571  2.15
42 Mn 0.564 0.230 0.135  2.15
43 Mn 0.595 0.865 0.429  2.15
44 Mn 0.166 0.095 0.730  2.15
45 Mn 0.429 0.365 0.595  2.15
46 Mn 0.666 0.230 0.595  2.15
47 Mn 0.936 0.365 0.270  2.15
48 Mn 0.905 0.071 0.635  2.15
49 Mn 0.436 0.666 0.071  2.15
50 Mn 0.436 0.770 0.865  2.15
51 Mn 0.095 0.929 0.365  2.15
52 Mn 0.730 0.135 0.064  2.15
53 Mn 0.865 0.270 0.436  2.15
54 Mn 0.936 0.571 0.166  2.15
55 Mn 0.166 0.071 0.936  2.15
56 Mn 0.230 0.666 0.095  2.15
57 Mn 0.571 0.635 0.405  2.15
58 Mn 0.564 0.334 0.929  2.15
59 Mn 0.230 0.564 0.635  2.15
60 Mn 0.135 0.405 0.071  2.15
61 Mn 0.595 0.730 0.666  2.15
62 Mn 0.064 0.429 0.834  2.15
63 Mn 0.270 0.865 0.936  2.15
64 Mn 0.905 0.834 0.770  2.15
65 Mn 0.270 0.405 0.834  2.15
66 Mn 0.429 0.064 0.334  2.15
67 Mn 0.365 0.936 0.770  2.15
68 Mn 0.834 0.905 0.270  2.15
69 Mn 0.405 0.135 0.571  2.15
70 Mn 0.071 0.905 0.135  2.15
71 Mn 0.929 0.095 0.865  2.15
72 Mn 0.571 0.936 0.666  2.15
73 Mn 0.064 0.635 0.730  2.15
74 Mn 0.135 0.730 0.564  2.15
75 Mn 0.730 0.595 0.166  2.15
76 Mn 0.635 0.571 0.905  2.15
77 Mn 0.929 0.834 0.564  2.15
78 Mn 0.334 0.564 0.429  2.15
79 Mn 0.071 0.166 0.436  2.15
80 Mn 0.834 0.929 0.064  2.15

***

(8)
SrSb2Cl after structural relaxation. Source: the Alexandria database, functional GGA-PBE.

Calculated values
ΔE_f (raw)	-0.987	eV/atom
space-group type	P4/mmm (123)
volume	29.86	Å³ per atom
Fermi-level density of states	0.6040	states/eV per atom
energy relative to the lowest polymorph listed for this composition	0.050	eV/atom

Unit cell a=6.570 b=4.264 c=4.264 alpha=90.00 beta=90.00 gamma=90.00
Fractional positions:
1 Cl 0.500 0.000 0.500
2 Sb 0.000 0.500 0.500
3 Sb 0.000 0.000 0.000
4 Sr 0.500 0.500 0.000

***

(9)
Y2AlIr after structural relaxation. Source: the Alexandria database, functional GGA-PBE.

Calculated values
DFT formation energy	-0.562	eV per atom
space-group type	Imm2 (44)
volume	22.61	Å³ per atom
Fermi-level density of states	0.7513	states/eV per atom

Unit cell a=6.256 b=6.256 c=6.256 alpha=149.02 beta=133.73 gamma=56.73
Fractional positions:
1 Al 0.443 0.443 0.000
2 Y 0.042 0.042 0.000
3 Y 0.749 0.249 0.500
4 Ir 0.265 0.765 0.500

***

(10)
BaZrPCl2 after structural relaxation. Source: the Alexandria database, functional GGA-PBE.

Calculated values
ΔE_f (raw)	-1.407	eV/atom
space-group type	P4/mmm (123)
volume	26.83	Å³ per atom
Fermi-level density of states	0.3374	states/eV per atom
energy relative to the lowest polymorph listed for this composition	0.000	eV/atom

Unit cell a=5.082 b=5.082 c=5.193 alpha=90.00 beta=90.00 gamma=90.00
Fractional positions:
1 Ba 0.500 0.500 0.500
2 P 0.000 0.000 0.500
3 Cl 0.000 0.500 0.000
4 Cl 0.500 0.000 0.000
5 Zr 0.000 0.000 0.000

***

(11)
CuRhPb2O6 after structural relaxation. Source: the Alexandria database, functional GGA-PBE.

Calculated values
ΔE_f (raw)	-0.784	eV/atom
space-group type	R3 (146)
volume	12.83	Å³ per atom
Fermi-level density of states	0.5926	states/eV per atom

Unit cell a=5.602 b=5.604 c=5.723 alpha=60.67 beta=60.69 gamma=60.00
Each line ends with the local moment (μB).
Fractional positions:
1 O 0.977 0.583 0.262  0.01
2 O 0.178 0.977 0.262  0.01
3 O 0.672 0.104 0.773  0.01
4 O 0.104 0.452 0.773  0.01
5 O 0.452 0.672 0.773  0.01
6 O 0.583 0.178 0.262  0.01
7 Cu 0.807 0.807 0.580  0.11
8 Pb 0.540 0.540 0.380  0.00
9 Pb 0.031 0.031 0.907  0.00
10 Rh 0.319 0.319 0.044  0.03

***

(12)
Nd2SmAg4 after structural relaxation. Source: the Alexandria database, functional GGA-PBE.

Calculated values
DFT formation energy	-0.091	eV per atom
space-group type	I4/mmm (139)
volume	27.41	Å³ per atom
Fermi-level density of states	0.9260	states/eV per atom

Unit cell a=5.461 b=5.461 c=7.504 alpha=111.34 beta=111.34 gamma=90.00
Fractional positions:
1 Nd 0.280 0.280 0.560
2 Nd 0.720 0.720 0.440
3 Ag 0.117 0.617 0.234
4 Ag 0.383 0.883 0.766
5 Ag 0.883 0.383 0.766
6 Ag 0.617 0.117 0.234
7 Sm 0.000 0.000 0.000

***

(13)
Na6VCl8 after structural relaxation. Source: the Alexandria database, functional GGA-PBE.

Calculated values
ΔE_f (raw)	-1.676	eV/atom
space-group type	Fm-3m (225)
volume	23.93	Å³ per atom

Unit cell a=7.977 b=7.977 c=7.977 alpha=60.00 beta=60.00 gamma=60.00
Each line ends with the local moment (μB).
Fractional positions:
1 Cl 0.776 0.776 0.224  -0.01
2 Cl 0.750 0.750 0.750  0.00
3 Cl 0.224 0.776 0.776  -0.01
4 Cl 0.250 0.250 0.250  0.00
5 Cl 0.224 0.776 0.224  -0.01
6 Cl 0.776 0.224 0.776  -0.01
7 Cl 0.224 0.224 0.776  -0.01
8 Cl 0.776 0.224 0.224  -0.01
9 Na 0.500 0.000 0.000  0.00
10 Na 0.000 0.500 0.000  0.00
11 Na 0.000 0.000 0.500  0.00
12 Na 0.500 0.000 0.500  0.00
13 Na 0.000 0.500 0.500  0.00
14 Na 0.500 0.500 0.000  0.00
15 V 0.000 0.000 0.000  2.61

***

(14)
PmMg3Ru after structural relaxation. Source: the Alexandria database, functional GGA-PBE.

Calculated values
DFT formation energy	-0.042	eV per atom
space-group type	Pnma (62)
volume	22.71	Å³ per atom
Fermi-level density of states	0.6032	states/eV per atom
energy relative to the lowest polymorph listed for this composition	0.084	eV/atom

Unit cell a=5.981 b=8.306 c=9.142 alpha=90.00 beta=90.00 gamma=90.00
Fractional positions:
1 Mg 0.891 0.179 0.543
2 Mg 0.109 0.821 0.043
3 Mg 0.609 0.679 0.043
4 Mg 0.391 0.321 0.957
5 Mg 0.109 0.821 0.457
6 Mg 0.609 0.679 0.457
7 Mg 0.891 0.179 0.957
8 Mg 0.391 0.321 0.543
9 Mg 0.246 0.046 0.750
10 Mg 0.754 0.954 0.250
11 Mg 0.254 0.546 0.250
12 Mg 0.746 0.454 0.750
13 Pm 0.786 0.384 0.250
14 Pm 0.714 0.884 0.750
15 Pm 0.214 0.616 0.750
16 Pm 0.286 0.116 0.250
17 Ru 0.000 0.500 0.500
18 Ru 0.500 0.000 0.000
19 Ru 0.500 0.000 0.500
20 Ru 0.000 0.500 0.000

***

(15)
Er2TmSe after structural relaxation. Source: the Alexandria database, functional GGA-PBE.

Calculated values
ΔE_f (raw)	-0.502	eV/atom
space-group type	R-3m (166)
volume	29.71	Å³ per atom
Fermi-level density of states	1.3716	states/eV per atom
energy relative to the lowest polymorph listed for this composition	0.295	eV/atom

Unit cell a=3.656 b=3.656 c=10.483 alpha=79.96 beta=79.96 gamma=60.00
Fractional positions:
1 Er 0.892 0.892 0.323
2 Er 0.108 0.108 0.677
3 Se 0.500 0.500 0.500
4 Tm 0.000 0.000 0.000

***

(16)
BeH2SeO4 after structural relaxation. Source: the Alexandria database, functional GGA-PBE.

Calculated values
space-group type	P2_12_12_1 (19)
volume	10.87	Å³ per atom
final energy	-179.3	eV per cell
Fermi-level density of states	0.0000	states/eV per atom

Unit cell a=5.825 b=7.613 c=7.840 alpha=90.00 beta=90.00 gamma=90.00
Fractional positions:
1 Se 0.778 0.912 0.572
2 Se 0.222 0.412 0.928
3 Se 0.278 0.588 0.428
4 Se 0.722 0.088 0.072
5 Be 0.881 0.762 0.228
6 Be 0.381 0.738 0.772
7 Be 0.119 0.262 0.272
8 Be 0.619 0.238 0.728
9 O 0.702 0.831 0.374
10 O 0.356 0.261 0.795
11 O 0.227 0.085 0.364
12 O 0.644 0.761 0.705
13 O 0.798 0.169 0.874
14 O 0.298 0.331 0.126
15 O 0.273 0.915 0.864
16 O 0.144 0.739 0.295
17 O 0.413 0.588 0.922
18 O 0.587 0.088 0.578
19 O 0.856 0.239 0.205
20 O 0.773 0.585 0.136
21 O 0.727 0.415 0.636
22 O 0.087 0.412 0.422
23 O 0.202 0.669 0.626
24 O 0.913 0.912 0.078
25 H 0.287 0.039 0.823
26 H 0.713 0.539 0.677
27 H 0.213 0.961 0.323
28 H 0.787 0.461 0.177
29 H 0.637 0.591 0.057
30 H 0.363 0.091 0.443
31 H 0.863 0.409 0.557
32 H 0.137 0.909 0.943

***

(17)
SCl2OF after structural relaxation. Source: the Alexandria database, functional GGA-PBE.

Calculated values
ΔE_f (raw)	0.796	eV/atom
space-group type	P4/mmm (123)
volume	17.11	Å³ per atom
Fermi-level density of states	1.0032	states/eV per atom
energy relative to the lowest polymorph listed for this composition	0.000	eV/atom

Unit cell a=4.765 b=4.765 c=3.767 alpha=90.00 beta=90.00 gamma=90.00
Each line ends with the local moment (μB).
Fractional positions:
1 Cl 0.500 0.000 0.000  -0.10
2 Cl 0.000 0.500 0.000  -0.10
3 S 0.000 0.000 0.500  0.45
4 O 0.000 0.000 0.000  0.08
5 F 0.500 0.500 0.500  -0.48

***

(18)
Pr3Er4S8 after structural relaxation. Source: the Alexandria database, functional GGA-PBE.

Calculated values
ΔE_f (raw)	-2.010	eV/atom
space-group type	C2/m (12)
volume	23.74	Å³ per atom
Fermi-level density of states	0.4517	states/eV per atom

Unit cell a=7.914 b=7.953 c=7.953 alpha=90.04 beta=119.78 gamma=119.78
Fractional positions:
1 Er 0.000 0.000 0.500
2 Er 0.500 0.000 0.000
3 Er 0.000 0.500 0.000
4 Er 0.000 0.000 0.000
5 S 0.500 0.757 0.243
6 S 0.014 0.761 0.761
7 S 0.513 0.764 0.764
8 S 0.000 0.245 0.755
9 S 0.487 0.236 0.236
10 S 0.986 0.239 0.239
11 S 0.500 0.243 0.757
12 S 0.000 0.755 0.245
13 Pr 0.500 0.000 0.500
14 Pr 0.500 0.500 0.000
15 Pr 0.500 0.500 0.500

***

(19)
Na2CoSbC after structural relaxation. Source: the Alexandria database, functional GGA-PBE.

Calculated values
ΔE_f (raw)	1.425	eV/atom
space-group type	P4/mmm (123)
volume	26.69	Å³ per atom
Fermi-level density of states	1.1414	states/eV per atom

Unit cell a=5.351 b=4.661 c=5.351 alpha=90.00 beta=90.00 gamma=90.00
Each line ends with the local moment (μB).
Fractional positions:
1 Na 0.500 0.000 0.000  -0.01
2 Na 0.000 0.000 0.500  -0.01
3 C 0.500 0.500 0.500  0.96
4 Co 0.000 0.000 0.000  0.85
5 Sb 0.000 0.500 0.000  -0.11